Record 1
## Rb3TlO (GGA-PBE)

Data for crystalline Rb3TlO at its relaxed geometry.

Results
Relative energy among the computed polymorphs: 0.0 meV per atom
Calculated volume: 43.32 Å³ per atom
DOS at the Fermi energy: 3.99 states/eV/f.u.
Total DFT energy (no corrections): -2.55 eV/atom
Energy relative to the elements, uncorrected: -0.50 eV/atom

Cell lengths 8.5390, 8.5390, 3.5822 Å; angles 101.78, 101.78, 58.53 degrees
Element x y z (fractional)
Rb: 0.0000 0.0000 0.0000
Rb: 0.5812 0.9990 0.7952
Rb: 0.9990 0.5812 0.7952
Tl: 0.5130 0.5130 0.5121
O: 0.8610 0.8610 0.3644

Record 2
## Rb3TmTl2O6 (GGA-PBE)

Data for crystalline Rb3TmTl2O6 at its relaxed geometry.

Results
Calculated volume: 17.36 Å³ per atom
Total DFT energy (no corrections): -5.03 eV/atom
Energy relative to the elements, uncorrected: -1.54 eV/atom

Cell lengths 6.0699, 6.0699, 6.8368 Å; angles 98.47, 98.47, 120.04 degrees
Element x y z (fractional)
Rb: 0.0000 0.0000 0.0000
Rb: 0.3302 0.6698 0.0000
Rb: 0.6698 0.3302 0.0000
Tm: 0.5000 0.5000 0.5000
Tl: 0.1663 0.8337 0.5000
Tl: 0.8337 0.1663 0.5000
O: 0.1157 0.4387 0.3168
O: 0.2384 0.2384 0.6843
O: 0.4387 0.1157 0.3168
O: 0.5613 0.8843 0.6832
O: 0.7616 0.7616 0.3157
O: 0.8843 0.5613 0.6832

Record 3
## RbTmTlO3 (GGA-PBE)

Data for crystalline RbTmTlO3 at its relaxed geometry.

Results
Calculated volume: 21.46 Å³ per atom
DOS at the Fermi energy: 0.76 states/eV/f.u.
Total DFT energy (no corrections): -5.77 eV/atom
Energy relative to the elements, uncorrected: -1.99 eV/atom

Cell lengths 7.0620, 3.4781, 10.9905 Å; angles 90.00, 107.50, 90.00 degrees
Element x y z (fractional)
Rb: 0.0017 0.2500 0.2884
Rb: 0.9983 0.7500 0.7116
Tm: 0.4800 0.7500 0.6256
Tm: 0.5200 0.2500 0.3744
Tl: 0.4450 0.7500 0.1036
Tl: 0.5550 0.2500 0.8964
O: 0.2995 0.2500 0.1645
O: 0.3278 0.2500 0.6979
O: 0.3465 0.7500 0.4193
O: 0.6535 0.2500 0.5807
O: 0.6722 0.7500 0.3021
O: 0.7005 0.7500 0.8355

Record 4
## RbUTlO4 (GGA-PBE)

Data for crystalline RbUTlO4 at its relaxed geometry.

Results
Calculated volume: 19.77 Å³ per atom
DOS at the Fermi energy: 0.00 states/eV/f.u.
Total DFT energy (no corrections): -7.32 eV/atom
Energy relative to the elements, uncorrected: -2.39 eV/atom

Cell lengths 7.8227, 7.8227, 7.8227 Å; angles 147.40, 147.40, 46.76 degrees
Element x y z (fractional)
Rb: 0.0000 0.0000 0.0000
U: 0.6615 0.6615 0.0000
Tl: 0.3029 0.3029 0.0000
O: 0.1622 0.6622 0.5000
O: 0.5269 0.5269 0.0000
O: 0.6622 0.1622 0.5000
O: 0.7972 0.7972 0.0000

Record 5
## RbU3Tl4O12 (GGA-PBE)

Data for crystalline RbU3Tl4O12 at its relaxed geometry.

Results
Calculated volume: 18.14 Å³ per atom
DOS at the Fermi energy: 15.40 states/eV/f.u.
Total DFT energy (no corrections): -7.39 eV/atom
Energy relative to the elements, uncorrected: -2.20 eV/atom

Cell lengths 7.7814, 7.7814, 7.7814 Å; angles 109.47, 109.47, 109.47 degrees
Element x y z (fractional)
Rb: 0.0000 0.0000 0.0000
U: 0.0000 0.5000 0.5000
U: 0.5000 0.0000 0.5000
U: 0.5000 0.5000 0.0000
Tl: 0.0000 0.0000 0.5000
Tl: 0.0000 0.5000 0.0000
Tl: 0.5000 0.0000 0.0000
Tl: 0.5000 0.5000 0.5000
O: 0.0000 0.2901 0.2901
O: 0.0000 0.7099 0.7099
O: 0.2500 0.5000 0.7500
O: 0.2500 0.7500 0.5000
O: 0.2901 0.0000 0.2901
O: 0.2901 0.2901 0.0000
O: 0.5000 0.2500 0.7500
O: 0.5000 0.7500 0.2500
O: 0.7099 0.0000 0.7099
O: 0.7099 0.7099 0.0000
O: 0.7500 0.2500 0.5000
O: 0.7500 0.5000 0.2500

Record 6
## RbUTl2O6 (GGA-PBE)

Data for crystalline RbUTl2O6 at its relaxed geometry.

Results
Calculated volume: 17.50 Å³ per atom
DOS at the Fermi energy: 2.43 states/eV/f.u.
Total DFT energy (no corrections): -6.36 eV/atom
Energy relative to the elements, uncorrected: -1.69 eV/atom

Cell lengths 7.3159, 7.3159, 8.0585 Å; angles 113.69, 113.69, 68.14 degrees
Element x y z (fractional)
Rb: 0.2326 0.7674 0.7500
Rb: 0.7674 0.2326 0.2500
U: 0.2600 0.7400 0.2500
U: 0.7400 0.2600 0.7500
Tl: 0.2545 0.2549 0.2372
Tl: 0.2549 0.2545 0.7372
Tl: 0.7451 0.7455 0.2628
Tl: 0.7455 0.7451 0.7628
O: 0.0014 0.1753 0.9409
O: 0.0809 0.5852 0.3319
O: 0.1753 0.0014 0.4409
O: 0.3379 0.4544 0.0720
O: 0.4148 0.9191 0.1681
O: 0.4544 0.3379 0.5720
O: 0.5456 0.6621 0.4280
O: 0.5852 0.0809 0.8319
O: 0.6621 0.5456 0.9280
O: 0.8247 0.9986 0.5591
O: 0.9191 0.4148 0.6681
O: 0.9986 0.8247 0.0591